a) Mo2IrW | meta-GGA SCAN | PBEsol geometry

Lattice parameters (Å, degrees): 5.5511 7.8943 2.7518 90.00 90.00 90.00
Closest atoms and distances in Å follow each position.
Sites, in units of the cell vectors:
Mo 0.2500 0.2500 0.0000  4 Mo 2.75-2.78, 4 Ir 2.78, 4 W 2.78
Mo 0.2500 0.7500 0.0000  4 Mo 2.75-2.78, 4 W 2.78, 4 Ir 2.78
Mo 0.7500 0.2500 0.0000  4 Mo 2.75-2.78, 4 W 2.78, 4 Ir 2.78
Mo 0.7500 0.7500 0.0000  4 Mo 2.75-2.78, 4 W 2.78, 4 Ir 2.78
Ir 0.0000 0.0000 0.5000  2 Ir 2.75, 2 W 2.78, 8 Mo 2.78
Ir 0.5000 0.5000 0.5000  2 Ir 2.75, 2 W 2.78, 8 Mo 2.78
W 0.0000 0.5000 0.5000  2 W 2.75, 2 Ir 2.78, 8 Mo 2.78
W 0.5000 0.0000 0.5000  2 W 2.75, 2 Ir 2.78, 8 Mo 2.78

Results
- DOS at the Fermi energy: 3.0 states/eV/f.u.
- Symmetry: Cmmm



b) Mo2IrW | meta-GGA SCAN | PBEsol geometry

Lattice parameters (Å, degrees): 5.3703 8.8323 2.6951 90.00 108.96 90.00
Closest atoms and distances in Å follow each position.
Sites, in units of the cell vectors:
Mo 0.2500 0.2500 0.0000  4 Mo 2.69-2.70, 2 Ir 2.71, 2 W 2.71
Mo 0.2500 0.7500 0.0000  4 Mo 2.69-2.70, 2 Ir 2.71, 2 W 2.71
Mo 0.7500 0.2500 0.0000  4 Mo 2.69-2.70, 2 W 2.71, 2 Ir 2.71
Mo 0.7500 0.7500 0.0000  4 Mo 2.69-2.70, 2 Ir 2.71, 2 W 2.71
Ir 0.0000 0.0000 0.5000  2 W 2.69, 2 Ir 2.70, 4 Mo 2.71
Ir 0.5000 0.5000 0.5000  2 W 2.69, 2 Ir 2.70, 4 Mo 2.71
W 0.0000 0.5000 0.5000  2 Ir 2.69, 2 W 2.70, 4 Mo 2.71
W 0.5000 0.0000 0.5000  2 Ir 2.69, 2 W 2.70, 4 Mo 2.71

Results
- DOS at the Fermi energy: 3.6 states/eV/f.u.
- Symmetry: C2/m



Here is how they stack up, most stable first: b), a).



a) YMoIr2 | meta-GGA SCAN | PBEsol geometry

Lattice parameters (Å, degrees): 4.9217 2.8257 4.9828 90.00 109.58 90.00
Closest atoms and distances in Å follow each position.
Sites, in units of the cell vectors:
Y 0.0000 0.0000 0.0000  2 Y 2.83, 6 Ir 2.84-2.86, 4 Mo 2.86
Mo 0.0000 0.5000 0.5000  2 Mo 2.83, 6 Ir 2.84-2.86, 4 Y 2.86
Ir 0.5000 0.0000 0.5000  6 Ir 2.83-2.86, 4 Mo 2.84, 2 Y 2.86
Ir 0.5000 0.5000 0.0000  6 Ir 2.83-2.86, 4 Y 2.84, 2 Mo 2.86

Results
- DOS at the Fermi energy: 3.4 states/eV/f.u.
- Symmetry: P2/m



b) YMoIr2 | meta-GGA SCAN | PBEsol geometry

Lattice parameters (Å, degrees): 10.0023 2.8562 4.8071 90.00 102.81 90.00
Closest atoms and distances in Å follow each position.
Sites, in units of the cell vectors:
Y 0.0000 0.0000 0.0000  7 Ir 2.74-2.90, 2 Y 2.86, 1 Mo 2.98
Y 0.5000 0.5000 0.0000  7 Ir 2.74-2.90, 2 Y 2.86, 1 Mo 2.98
Mo 0.2915 0.5000 0.3571  7 Ir 2.69-2.90, 2 Mo 2.86, 1 Y 2.98
Mo 0.7915 0.0000 0.3571  7 Ir 2.69-2.90, 2 Mo 2.86, 1 Y 2.98
Ir 0.0248 0.5000 0.5017  3 Mo 2.69-2.90, 4 Y 2.77-2.85, 4 Ir 2.78-2.86
Ir 0.2430 0.0000 0.8257  3 Y 2.74-2.90, 4 Ir 2.78-2.86, 4 Mo 2.80-2.87
Ir 0.5248 0.0000 0.5017  3 Mo 2.69-2.90, 4 Y 2.77-2.85, 4 Ir 2.78-2.86
Ir 0.7430 0.5000 0.8257  3 Y 2.74-2.90, 4 Ir 2.78-2.86, 4 Mo 2.80-2.87

Results
- DOS at the Fermi energy: 3.4 states/eV/f.u.
- Symmetry: Cm



Here is how they stack up, most stable first: b), a).



a) YMoIr | meta-GGA SCAN | PBEsol geometry

Lattice parameters (Å, degrees): 6.3057 6.3057 6.3057 90.00 90.00 90.00
Closest atoms and distances in Å follow each position.
Sites, in units of the cell vectors:
Y 0.0000 0.0000 0.0000  4 Ir 2.73
Y 0.0000 0.5000 0.5000  4 Ir 2.73
Y 0.5000 0.0000 0.5000  4 Ir 2.73
Y 0.5000 0.5000 0.0000  4 Ir 2.73
Mo 0.0000 0.0000 0.5000  4 Ir 2.73
Mo 0.0000 0.5000 0.0000  4 Ir 2.73
Mo 0.5000 0.0000 0.0000  4 Ir 2.73
Mo 0.5000 0.5000 0.5000  4 Ir 2.73
Ir 0.2500 0.2500 0.2500  4 Mo 2.73, 4 Y 2.73
Ir 0.2500 0.7500 0.7500  4 Mo 2.73, 4 Y 2.73
Ir 0.7500 0.2500 0.7500  4 Mo 2.73, 4 Y 2.73
Ir 0.7500 0.7500 0.2500  4 Mo 2.73, 4 Y 2.73

Results
- DOS at the Fermi energy: 2.5 states/eV/f.u.
- Symmetry: F-43m



b) YMoIr | meta-GGA SCAN | PBEsol geometry

Lattice parameters (Å, degrees): 4.1664 4.1664 4.2499 90.00 90.00 120.00
Closest atoms and distances in Å follow each position.
Sites, in units of the cell vectors:
Y 0.0000 0.0000 0.0000  6 Ir 3.13-3.29, 6 Mo 3.17-3.26
Mo 0.6667 0.3333 0.4840  3 Ir 2.41
Ir 0.3333 0.6667 0.5277  3 Mo 2.41

Results
- DOS at the Fermi energy: 1.6 states/eV/f.u.
- Symmetry: P3m1



Here is how they stack up, most stable first: b), a).



a) YMo2Ir | meta-GGA SCAN | PBEsol geometry

Lattice parameters (Å, degrees): 6.4096 6.4096 6.4096 90.00 90.00 90.00
Closest atoms and distances in Å follow each position.
Sites, in units of the cell vectors:
Y 0.0000 0.0000 0.0000  8 Mo 2.78
Y 0.0000 0.5000 0.5000  8 Mo 2.78
Y 0.5000 0.0000 0.5000  8 Mo 2.78
Y 0.5000 0.5000 0.0000  8 Mo 2.78
Mo 0.2500 0.2500 0.2500  4 Ir 2.78, 4 Y 2.78
Mo 0.2500 0.2500 0.7500  4 Ir 2.78, 4 Y 2.78
Mo 0.2500 0.7500 0.2500  4 Ir 2.78, 4 Y 2.78
Mo 0.2500 0.7500 0.7500  4 Ir 2.78, 4 Y 2.78
Mo 0.7500 0.2500 0.2500  4 Ir 2.78, 4 Y 2.78
Mo 0.7500 0.2500 0.7500  4 Ir 2.78, 4 Y 2.78
Mo 0.7500 0.7500 0.2500  4 Ir 2.78, 4 Y 2.78
Mo 0.7500 0.7500 0.7500  4 Y 2.78, 4 Ir 2.78
Ir 0.0000 0.0000 0.5000  8 Mo 2.78
Ir 0.0000 0.5000 0.0000  8 Mo 2.78
Ir 0.5000 0.0000 0.0000  8 Mo 2.78
Ir 0.5000 0.5000 0.5000  8 Mo 2.78

Results
- DOS at the Fermi energy: 4.0 states/eV/f.u.
- Symmetry: Fm-3m



b) YMo2Ir | meta-GGA SCAN | PBEsol geometry

Lattice parameters (Å, degrees): 3.1860 4.7976 8.9856 90.00 90.00 90.00
Closest atoms and distances in Å follow each position.
Sites, in units of the cell vectors:
Y 0.0000 0.0000 0.0000  8 Mo 2.88-3.15, 4 Ir 2.89-3.17, 2 Y 3.19
Y 0.5000 0.5000 0.5000  8 Mo 2.88-3.15, 4 Ir 2.89-3.17, 2 Y 3.19
Mo 0.0000 0.0000 0.5126  2 Mo 2.50, 2 Ir 2.71
Mo 0.0000 0.5000 0.2273  2 Mo 2.50
Mo 0.5000 0.0000 0.7273  2 Mo 2.50
Mo 0.5000 0.5000 0.0126  2 Mo 2.50, 2 Ir 2.71
Ir 0.0000 0.5000 0.7690  6 Mo 2.71-2.90, 2 Y 2.89
Ir 0.5000 0.0000 0.2690  6 Mo 2.71-2.90, 2 Y 2.89

Results
- DOS at the Fermi energy: 3.0 states/eV/f.u.
- Symmetry: Imm2



Here is how they stack up, most stable first: b), a).



a) YMo2Ir | meta-GGA SCAN | PBEsol geometry

Lattice parameters (Å, degrees): 5.3999 9.2881 2.8183 90.00 108.55 90.00
Closest atoms and distances in Å follow each position.
Sites, in units of the cell vectors:
Y 0.0000 0.0000 0.0000  2 Ir 2.70, 2 Y 2.82, 4 Mo 2.83
Y 0.5000 0.5000 0.0000  2 Ir 2.70, 2 Y 2.82, 4 Mo 2.83
Mo 0.2500 0.2500 0.5000  4 Mo 2.70-2.82, 2 Ir 2.83, 2 Y 2.83
Mo 0.2500 0.7500 0.5000  4 Mo 2.70-2.82, 2 Ir 2.83, 2 Y 2.83
Mo 0.7500 0.2500 0.5000  4 Mo 2.70-2.82, 2 Ir 2.83, 2 Y 2.83
Mo 0.7500 0.7500 0.5000  4 Mo 2.70-2.82, 2 Ir 2.83, 2 Y 2.83
Ir 0.0000 0.5000 0.0000  2 Y 2.70, 2 Ir 2.82, 4 Mo 2.83
Ir 0.5000 0.0000 0.0000  2 Y 2.70, 2 Ir 2.82, 4 Mo 2.83

Results
- DOS at the Fermi energy: 3.1 states/eV/f.u.
- Symmetry: C2/m



b) YMo2Ir | meta-GGA SCAN | PBEsol geometry

Lattice parameters (Å, degrees): 10.2818 3.0192 4.7170 90.00 105.87 90.00
Closest atoms and distances in Å follow each position.
Sites, in units of the cell vectors:
Y 0.0000 0.0000 0.0000  4 Ir 2.80, 2 Y 3.02, 2 Mo 3.05
Y 0.5000 0.5000 0.0000  4 Ir 2.80, 2 Y 3.02, 2 Mo 3.05
Mo 0.2274 0.0000 0.7000  2 Mo 2.56, 2 Ir 2.73
Mo 0.2726 0.5000 0.3000  2 Mo 2.56, 2 Ir 2.73
Mo 0.7274 0.5000 0.7000  2 Mo 2.56, 2 Ir 2.73
Mo 0.7726 0.0000 0.3000  2 Mo 2.56, 2 Ir 2.73
Ir 0.0000 0.5000 0.5000  4 Mo 2.73, 4 Y 2.80, 2 Ir 3.02
Ir 0.5000 0.0000 0.5000  4 Mo 2.73, 4 Y 2.80, 2 Ir 3.02

Results
- DOS at the Fermi energy: 3.4 states/eV/f.u.
- Symmetry: C2/m



Here is how they stack up, most stable first: b), a).



a) Zn2MoIr | meta-GGA SCAN | PBEsol geometry

Lattice parameters (Å, degrees): 8.8677 2.7555 4.7219 90.00 101.01 90.00
Closest atoms and distances in Å follow each position.
Sites, in units of the cell vectors:
Zn 0.2462 0.0000 0.2439  3 Ir 2.65-2.72, 3 Mo 2.69-2.72, 6 Zn 2.70-2.77
Zn 0.2538 0.5000 0.7561  3 Ir 2.65-2.72, 3 Mo 2.69-2.72, 6 Zn 2.70-2.77
Zn 0.7462 0.5000 0.2439  3 Ir 2.65-2.72, 3 Mo 2.69-2.72, 6 Zn 2.70-2.77
Zn 0.7538 0.0000 0.7561  3 Ir 2.65-2.72, 3 Mo 2.69-2.72, 6 Zn 2.70-2.77
Mo 0.0000 0.0000 0.5000  6 Zn 2.69-2.72, 4 Ir 2.73, 2 Mo 2.76
Mo 0.5000 0.5000 0.5000  6 Zn 2.69-2.72, 4 Ir 2.73, 2 Mo 2.76
Ir 0.0000 0.5000 0.0000  6 Zn 2.65-2.72, 4 Mo 2.73, 2 Ir 2.76
Ir 0.5000 0.0000 0.0000  6 Zn 2.65-2.72, 4 Mo 2.73, 2 Ir 2.76

Results
- DOS at the Fermi energy: 2.5 states/eV/f.u.
- Symmetry: C2/m



b) Zn2MoIr | meta-GGA SCAN | PBEsol geometry

Lattice parameters (Å, degrees): 3.9750 3.9750 7.0885 90.00 90.00 90.00
Closest atoms and distances in Å follow each position.
Sites, in units of the cell vectors:
Zn 0.0000 0.0000 0.0000  4 Mo 2.66, 4 Zn 2.66, 4 Ir 2.81
Zn 0.0000 0.5000 0.2500  4 Ir 2.66, 4 Zn 2.66, 4 Mo 2.81
Zn 0.5000 0.0000 0.7500  4 Ir 2.66, 4 Zn 2.66, 4 Mo 2.81
Zn 0.5000 0.5000 0.5000  4 Mo 2.66, 4 Zn 2.66, 4 Ir 2.81
Mo 0.0000 0.5000 0.7500  4 Ir 2.66, 8 Zn 2.66-2.81
Mo 0.5000 0.0000 0.2500  4 Ir 2.66, 8 Zn 2.66-2.81
Ir 0.0000 0.0000 0.5000  4 Mo 2.66, 8 Zn 2.66-2.81
Ir 0.5000 0.5000 0.0000  4 Mo 2.66, 8 Zn 2.66-2.81

Results
- DOS at the Fermi energy: 2.0 states/eV/f.u.
- Symmetry: I-4m2



c) Zn2MoIr | meta-GGA SCAN | PBEsol geometry

Lattice parameters (Å, degrees): 2.8349 2.8349 6.9805 90.00 90.00 90.00
Closest atoms and distances in Å follow each position.
Sites, in units of the cell vectors:
Zn 0.0000 0.0000 0.0000  8 Zn 2.62-2.83, 4 Mo 2.72
Zn 0.5000 0.5000 0.2413  8 Zn 2.62-2.83, 4 Ir 2.65
Mo 0.5000 0.5000 0.7361  4 Ir 2.64, 4 Zn 2.72, 4 Mo 2.83
Ir 0.0000 0.0000 0.4895  4 Mo 2.64, 4 Zn 2.65, 4 Ir 2.83

Results
- DOS at the Fermi energy: 1.6 states/eV/f.u.
- Symmetry: P4mm



Here is how they stack up, most stable first: c), b), a).